The following is a GGA-PBE calculation of a geometry-optimized Cu3Ag2 structure, from the Open Quantum Materials Database.

Lattice parameters (Å, degrees): 2.832 2.832 17.692 90.00 90.00 90.00
Element x y z (fractional)
Cu1 0.500 0.000 0.373
Cu2 0.000 0.500 0.457
Ag1 0.000 0.500 0.817
Ag2 0.000 0.500 0.061
Cu3 0.500 0.000 0.712
Ag3 0.500 0.000 0.183
Cu4 0.000 0.500 0.627
Cu5 0.000 0.500 0.288
Ag4 0.500 0.000 0.939
Cu6 0.500 0.000 0.543

## Properties
formation energy from the elements: 0.042 eV per atom
V: 141.9 Å³/cell
distance to the lowest polymorph of the same formula: 0 meV/atom
space-group type: P4/nmm, No. 129

The following is a GGA-PBE calculation of a geometry-optimized Cu4Ag5 structure, from the Open Quantum Materials Database.

Lattice parameters (Å, degrees): 7.198 7.198 7.198 157.06 106.76 77.92
Element x y z (fractional)
Ag1 0.182 0.182 0.000
Cu1 0.494 0.170 0.324
Cu2 0.506 0.830 0.676
Ag2 0.500 0.500 0.000
Cu3 0.845 0.170 0.676
Cu4 0.155 0.830 0.324
Ag3 0.818 0.818 0.000
Ag4 0.171 0.500 0.671
Ag5 0.829 0.500 0.329

## Properties
formation energy from the elements: 0.092 eV per atom
V: 137.6 Å³/cell
distance to the lowest polymorph of the same formula: 54 meV/atom
space-group type: Immm, No. 71

The following is a GGA-PBE calculation of a geometry-optimized CuAg structure, from the Open Quantum Materials Database.

Lattice parameters (Å, degrees): 9.718 9.718 5.570 98.85 98.85 16.58
Element x y z (fractional)
Cu1 0.204 0.204 0.097
Cu2 0.804 0.804 0.903
Ag1 0.596 0.596 0.804
Ag2 0.804 0.804 0.402
Ag3 0.203 0.203 0.611
Ag4 0.406 0.406 0.191
Ag5 0.593 0.593 0.294
Cu3 0.994 0.994 0.514
Cu4 0.403 0.403 0.706
Cu5 0.995 0.995 0.977

## Properties
formation energy from the elements: 0.101 eV per atom
V: 148.3 Å³/cell
space-group type: Cm, No. 8

The following is a GGA-PBE calculation of a geometry-optimized CuAg structure, from the Open Quantum Materials Database.

Lattice parameters (Å, degrees): 5.900 5.900 9.318 98.37 98.37 27.82
Element x y z (fractional)
Cu1 0.802 0.802 0.417
Ag1 0.692 0.692 0.083
Ag2 0.112 0.112 0.311
Cu2 0.986 0.986 0.984
Ag3 0.495 0.495 0.510
Cu3 0.891 0.891 0.707
Cu4 0.214 0.214 0.603
Cu5 0.306 0.306 0.891
Ag4 0.400 0.400 0.199
Ag5 0.601 0.601 0.794

## Properties
formation energy from the elements: 0.089 eV per atom
V: 149.6 Å³/cell
space-group type: Cm, No. 8

The following is a GGA-PBE calculation of a geometry-optimized Cu4Ag5 structure, from the Open Quantum Materials Database.

Lattice parameters (Å, degrees): 2.822 2.822 20.092 90.00 90.00 120.00
Element x y z (fractional)
Cu1 0.333 0.667 0.548
Ag1 0.000 0.000 0.000
Cu2 0.667 0.333 0.452
Cu3 0.000 0.000 0.643
Ag2 0.667 0.333 0.753
Ag3 0.333 0.667 0.876
Ag4 0.667 0.333 0.124
Cu4 0.000 0.000 0.357
Ag5 0.333 0.667 0.247

## Properties
formation energy from the elements: 0.081 eV per atom
V: 138.6 Å³/cell
distance to the lowest polymorph of the same formula: 43 meV/atom
space-group type: P-3m1, No. 164

The following is a GGA-PBE calculation of a geometry-optimized Cu3Ag2 structure, from the Open Quantum Materials Database.

Lattice parameters (Å, degrees): 3.885 9.667 9.667 23.20 90.00 90.00
Element x y z (fractional)
Cu1 0.500 0.901 0.901
Ag1 0.000 0.401 0.401
Cu2 0.000 0.591 0.591
Cu3 0.000 0.997 0.997
Ag2 0.500 0.704 0.704
Ag3 0.500 0.092 0.092
Cu4 0.500 0.306 0.306
Cu5 0.000 0.806 0.806
Cu6 0.500 0.497 0.497
Ag4 0.000 0.204 0.204

## Properties
formation energy from the elements: 0.092 eV per atom
V: 143.0 Å³/cell
distance to the lowest polymorph of the same formula: 50 meV/atom
space-group type: Amm2, No. 38

The following is a GGA-PBE calculation of a geometry-optimized Cu4Ag5 structure, from the Open Quantum Materials Database.

Lattice parameters (Å, degrees): 4.889 4.889 11.214 112.01 112.01 33.91
Element x y z (fractional)
Ag1 0.325 0.325 0.455
Cu1 0.322 0.322 0.786
Ag2 0.343 0.343 0.090
Ag3 0.996 0.996 0.685
Ag4 0.002 0.002 0.342
Ag5 0.667 0.667 0.206
Cu2 0.668 0.668 0.578
Cu3 0.672 0.672 0.886
Cu4 0.005 0.005 0.972

## Properties
formation energy from the elements: 0.079 eV per atom
V: 137.6 Å³/cell
distance to the lowest polymorph of the same formula: 41 meV/atom
space-group type: Cm, No. 8

The following is a GGA-PBE calculation of a geometry-optimized CuAg structure, from the Open Quantum Materials Database.

Lattice parameters (Å, degrees): 2.847 2.847 14.636 90.00 90.00 90.00
Element x y z (fractional)
Ag1 0.000 0.500 0.573
Ag2 0.500 0.000 0.720
Cu1 0.000 0.500 0.846
Cu2 0.000 0.500 0.051
Ag3 0.000 0.500 0.280
Cu3 0.500 0.000 0.949
Cu4 0.500 0.000 0.154
Ag4 0.500 0.000 0.427

## Properties
formation energy from the elements: 0.043 eV per atom
V: 118.6 Å³/cell
space-group type: P4/nmm, No. 129

Which value of formation energy from the elements does entry 3 give?
0.101 eV per atom

Number 8 is which compound?
CuAg